Entry 1:
First-principles (PBE) data for an optimized crystal structure of Cs5Tl4In2, as listed in Alexandria via LeMat-Bulk.

a = 7.745 Å, b = 7.745 Å, c = 10.383 Å
α = 106.22°, β = 106.22°, γ = 59.78°
Element x y z (fractional)
Cs (0.000, 0.000, 0.000)
Cs (0.163, 0.652, 0.630)
Cs (0.348, 0.837, 0.370)
Cs (0.652, 0.163, 0.630)
Cs (0.837, 0.348, 0.370)
Tl (0.310, 0.310, 0.249)
Tl (0.378, 0.378, 0.996)
Tl (0.622, 0.622, 0.004)
Tl (0.690, 0.690, 0.751)
In (0.186, 0.186, 0.755)
In (0.814, 0.814, 0.245)

Results
energy of formation from the pure elements: 0.055 eV per atom
density: 5.58 g/cm³
SG: No. 12
crystal system: monoclinic
DOS at the Fermi energy: 6.6 states/eV per cell
uncorrected energy: -1.692 eV per atom

=====

Entry 2:
First-principles (PBE) data for an optimized crystal structure of NdGa2Pd2Au, as listed in Alexandria via LeMat-Bulk.

a = 4.767 Å, b = 4.767 Å, c = 5.743 Å
α = 90.00°, β = 90.00°, γ = 90.00°
Element x y z (fractional)
Nd (0.000, 0.000, 0.000)
Ga (0.000, 0.500, 0.500)
Ga (0.500, 0.000, 0.500)
Pd (0.500, 0.500, 0.245)
Pd (0.500, 0.500, 0.755)
Au (0.000, 0.000, 0.500)

Results
energy of formation from the pure elements: -0.258 eV per atom
density: 8.82 g/cm³
SG: No. 123
crystal system: tetragonal
DOS at the Fermi energy: 3.1 states/eV per cell
uncorrected energy: -4.339 eV per atom

=====

Entry 3:
First-principles (PBE) data for an optimized crystal structure of KHf2I8, as listed in Alexandria via LeMat-Bulk.

a = 9.624 Å, b = 9.624 Å, c = 7.893 Å
α = 97.41°, β = 97.41°, γ = 70.34°
Element x y z (fractional)
K (0.000, 0.000, 0.000)
Hf (0.198, 0.198, 0.658)
Hf (0.802, 0.802, 0.342)
I (0.083, 0.688, 0.248)
I (0.196, 0.196, 0.313)
I (0.312, 0.917, 0.752)
I (0.362, 0.362, 0.819)
I (0.638, 0.638, 0.181)
I (0.688, 0.083, 0.248)
I (0.804, 0.804, 0.687)
I (0.917, 0.312, 0.752)

Results
density: 3.45 g/cm³
SG: No. 12
crystal system: monoclinic
relative energy among the computed polymorphs: 0 meV/atom
DOS at the Fermi energy: 7.7 states/eV per cell
uncorrected energy: -3.887 eV per atom

=====

Entry 4:
First-principles (PBE) data for an optimized crystal structure of MgPd6Au8, as listed in Alexandria via LeMat-Bulk.

a = 7.663 Å, b = 7.663 Å, c = 5.521 Å
α = 90.00°, β = 90.00°, γ = 120.00°
Element x y z (fractional)
Mg (0.000, 0.000, 0.000)
Pd (0.029, 0.681, 0.864)
Pd (0.319, 0.348, 0.864)
Pd (0.348, 0.029, 0.136)
Pd (0.652, 0.971, 0.864)
Pd (0.681, 0.652, 0.136)
Pd (0.971, 0.319, 0.136)
Au (0.020, 0.684, 0.370)
Au (0.316, 0.336, 0.370)
Au (0.333, 0.667, 0.109)
Au (0.336, 0.020, 0.630)
Au (0.664, 0.980, 0.370)
Au (0.667, 0.333, 0.891)
Au (0.684, 0.664, 0.630)
Au (0.980, 0.316, 0.630)

Results
energy of formation from the pure elements: -0.057 eV per atom
density: 13.24 g/cm³
SG: No. 147
crystal system: trigonal
relative energy among the computed polymorphs: 65 meV/atom
DOS at the Fermi energy: 6.5 states/eV per cell
uncorrected energy: -3.989 eV per atom

=====

Entry 5:
First-principles (PBE) data for an optimized crystal structure of NdSmScAg, as listed in Alexandria via LeMat-Bulk.

a = 3.577 Å, b = 3.577 Å, c = 8.591 Å
α = 90.00°, β = 90.00°, γ = 90.00°
Element x y z (fractional)
Nd (0.000, 0.000, 0.000)
Sm (0.500, 0.500, 0.690)
Sc (0.500, 0.500, 0.277)
Ag (0.000, 0.000, 0.452)

Results
energy of formation from the pure elements: -0.095 eV per atom
density: 6.76 g/cm³
SG: No. 99
crystal system: tetragonal
relative energy among the computed polymorphs: 0 meV/atom
DOS at the Fermi energy: 6.0 states/eV per cell
uncorrected energy: -4.763 eV per atom

=====

Entry 6:
First-principles (PBE) data for an optimized crystal structure of CsTl2, as listed in Alexandria via LeMat-Bulk.

a = 7.620 Å, b = 7.620 Å, c = 9.237 Å
α = 127.31°, β = 127.31°, γ = 39.97°
Element x y z (fractional)
Cs (0.076, 0.076, 0.353)
Cs (0.924, 0.924, 0.647)
Tl (0.301, 0.301, 0.190)
Tl (0.363, 0.363, 0.925)
Tl (0.637, 0.637, 0.075)
Tl (0.699, 0.699, 0.810)

Results
energy of formation from the pure elements: -0.095 eV per atom
density: 6.83 g/cm³
SG: No. 12
crystal system: monoclinic
relative energy among the computed polymorphs: 18 meV/atom
DOS at the Fermi energy: 3.8 states/eV per cell
uncorrected energy: -1.957 eV per atom